First-principles (GGA-PBE) data for a geometry-optimized PrY2Pd structure, as listed in the Alexandria database.

Volume: 28.18 Å³ per atom
ΔE to the lowest computed polymorph: 0.0336 eV per atom
Final energy: -24.551 eV for the cell shown
N(E_F): 1.162 states/eV/atom
Magnetization: 0.00 Bohr magnetons per cell
E_form: -0.413 eV per atom
ρ: 6.3 g cm⁻³

Cell lengths 3.586, 3.586, 8.766 Å; angles 90.00, 90.00, 90.00 degrees
Fractional coordinates of all 4 atoms:
Pr 0.500 0.500 0.500
Y 0.000 0.000 0.808
Y 0.000 0.000 0.192
Pd 0.500 0.500 0.000

=====

First-principles (GGA-PBE) data for a geometry-optimized CuPbAu2 structure, as listed in the Alexandria database.

Volume: 19.97 Å³ per atom
Final energy: -13.827 eV for the cell shown
N(E_F): 0.329 states/eV/atom
Magnetization: 0.00 Bohr magnetons per cell
E_form: 0.133 eV per atom
ρ: 13.8 g cm⁻³

Cell lengths 4.519, 4.519, 4.007 Å; angles 90.00, 90.00, 102.52 degrees
Fractional coordinates of all 4 atoms:
Au 0.000 0.000 0.000
Au 0.500 0.500 0.000
Cu 0.500 0.000 0.500
Pb 0.000 0.500 0.500

=====

First-principles (GGA-PBE) data for a geometry-optimized RbBa3Ta structure, as listed in the Alexandria database.

Volume: 48.13 Å³ per atom
ΔE to the lowest computed polymorph: 1.0411 eV per atom
Final energy: -9.408 eV for the cell shown
N(E_F): 2.371 states/eV/atom
Magnetization: 0.00 Bohr magnetons per cell
E_form: 1.836 eV per atom
ρ: 4.7 g cm⁻³

Cell lengths 6.220, 6.220, 6.220 Å; angles 90.00, 90.00, 90.00 degrees
Fractional coordinates of all 5 atoms:
Ba 0.000 0.500 0.000
Ba 0.000 0.000 0.500
Ba 0.500 0.000 0.000
Rb 0.000 0.000 0.000
Ta 0.500 0.500 0.500

=====

First-principles (GGA-PBE) data for a geometry-optimized CaSc3Ag structure, as listed in the Alexandria database.

Volume: 29.79 Å³ per atom
ΔE to the lowest computed polymorph: 0.0000 eV per atom
Final energy: -22.448 eV for the cell shown
N(E_F): 1.721 states/eV/atom
Magnetization: 1.50 Bohr magnetons per cell
E_form: 0.280 eV per atom
ρ: 3.2 g cm⁻³

Cell lengths 5.301, 5.301, 5.301 Å; angles 90.00, 90.00, 90.00 degrees
Last column: magnetic moment on the atom in μB.
Fractional coordinates of all 5 atoms:
Sc 0.000 0.500 0.000  0.21
Sc 0.000 0.000 0.500  0.13
Sc 0.500 0.000 0.000  0.27
Ca 0.500 0.500 0.500  0.04
Ag 0.000 0.000 0.000  0.04